A geometry-optimized TbTmIrPt structure. Source: Alexandria, functional PBE-GGA.

Magnetization in Bohr magnetons per cell: 0.0
Energy of formation in meV/atom: -1061.1
Calculated volume in Å³/atom: 20.44
Space group: P4mm
DOS at the Fermi energy in states/eV/atom: 0.383

Cell: 3.4407 3.4407 6.9076 Å, 90.00 90.00 90.00°
Last column: nearest neighbours and their distance in Å.
Sites, in units of the cell vectors:
Tb (0.0000, 0.0000, 0.0000)  4 Ir 2.98, 4 Pt 3.05
Tm (0.0000, 0.0000, 0.5153)  4 Ir 2.93, 4 Pt 2.98
Ir (0.5000, 0.5000, 0.7520)  4 Tm 2.93, 4 Tb 2.98
Pt (0.5000, 0.5000, 0.2661)  4 Tm 2.98, 4 Tb 3.05